Here is MgTa5Os6 after structural relaxation from the Alexandria database. Energies are from PBE.

Unit cell a=7.7066 b=7.7066 c=7.7066 alpha=146.56 beta=129.74 gamma=61.72
Sites, in units of the cell vectors:
Mg (0.0000, 0.0000, 0.0000)
Ta (0.1670, 0.6670, 0.5000)
Ta (0.3392, 0.3392, 0.0000)
Ta (0.5000, 0.0000, 0.5000)
Ta (0.6608, 0.6608, 0.0000)
Ta (0.8330, 0.3330, 0.5000)
Os (0.0766, 0.8312, 0.2453)
Os (0.2433, 0.5000, 0.7433)
Os (0.4141, 0.1688, 0.2453)
Os (0.5859, 0.8312, 0.7547)
Os (0.7567, 0.5000, 0.2567)
Os (0.9234, 0.1688, 0.7547)

Calculated values
Its density of states at the Fermi level is 0.7034 states/eV/atom. The uncorrected energy comes out at -10.972 eV/atom. The calculation puts the formation energy at -0.285 eV/atom.